Entry 1:
Below is a crystal of MnGeP2O relaxed with PBEsol, with properties calculated at the SCAN level.

```
MnGeP2O
1.0
4.600 0.000 0.000
0.000 4.600 0.000
0.000 0.000 3.381
Mn Ge P O
1 1 2 1
Direct
0.000 0.000 0.000
0.500 0.500 0.500
0.000 0.500 0.000
0.500 0.000 0.000
0.000 0.000 0.500
```

Calculated total energy: -0.9502 Ry per atom
ΔE_f (raw): -0.05 eV/atom
Fermi-level density of states: 0.538 states/eV/atom
Magnetic moment: 0.0010 μB per atom
Calculated volume: 14.3 A^3/atom
Space group: P4/mmm (123)

Entry 2:
Below is a crystal of MnZnGe2O6 relaxed with PBEsol, with properties calculated at the SCAN level.

```
MnZnGe2O6
1.0
5.003 -4.719 0.000
5.003 4.719 0.000
-1.784 0.000 5.153
Mn Zn Ge O
2 2 4 12
Direct
0.102 0.898 0.750
0.898 0.102 0.250
0.235 0.765 0.250
0.765 0.235 0.750
0.219 0.392 0.765
0.392 0.219 0.265
0.608 0.781 0.735
0.781 0.608 0.235
0.036 0.201 0.646
0.136 0.630 0.895
0.201 0.036 0.146
0.314 0.416 0.498
0.370 0.864 0.605
0.416 0.314 0.998
0.584 0.686 0.002
0.630 0.136 0.395
0.686 0.584 0.502
0.799 0.964 0.854
0.864 0.370 0.105
0.964 0.799 0.354
```

Calculated total energy: -0.9219 Ry per atom
ΔE_f (raw): -1.81 eV/atom
Magnetic moment: 0.5000 μB per atom
Calculated volume: 12.2 A^3/atom
Space group: C2/c (15)

Entry 3:
Below is a crystal of Mn3GeP relaxed with PBEsol, with properties calculated at the SCAN level.

```
Mn3GeP
1.0
4.084 0.000 0.000
0.000 4.084 0.000
0.000 0.000 4.084
Mn Ge P
3 1 1
Direct
0.000 0.000 0.500
0.000 0.500 0.000
0.500 0.000 0.000
0.500 0.500 0.500
0.000 0.000 0.000
```

Calculated total energy: -1.2211 Ry per atom
Fermi-level density of states: 0.716 states/eV/atom
Magnetic moment: 1.8251 μB per atom
DFT formation energy: 0.2365 eV per atom
Calculated volume: 13.6 A^3/atom
Space group: Pm-3m (221)

Entry 4:
Below is a crystal of MnGePd3 relaxed with PBEsol, with properties calculated at the SCAN level.

```
MnGePd3
1.0
4.536 0.000 0.000
0.000 4.536 0.000
0.000 0.000 4.536
Mn Ge Pd
1 1 3
Direct
0.000 0.000 0.000
0.500 0.500 0.500
0.000 0.500 0.500
0.500 0.000 0.500
0.500 0.500 0.000
```

Calculated total energy: -1.9896 Ry per atom
Fermi-level density of states: 0.363 states/eV/atom
Magnetic moment: 0.9843 μB per atom
DFT formation energy: 0.0639 eV per atom
Calculated volume: 18.7 A^3/atom
Space group: Pm-3m (221)

Which value of calculated volume does entry 1 give?
14.3 A^3/atom

What is the formula in the third record?
Mn3GeP